Computed, not measured: a relaxed SrMo2P crystal at the PBE-GGA level of DFT.

Output
E_form, eV per atom: 0.07
Fermi-level density of states, states/eV per cell: 2.83

```
SrMo2P
1.0
4.110 -1.687 0.000
4.110 1.687 0.000
-1.372 0.000 6.336
Sr Mo P
1 2 1
direct
0.000 0.000 0.000
0.209 0.209 0.608
0.470 0.470 0.466
0.738 0.738 0.328
```


Computed, not measured: a relaxed CsTlHg2Br8 crystal at the PBE-GGA level of DFT.

Output
Formation energy from raw total energies, kJ/mol of atoms: -64.6

```
CsTlHg2Br8
1.0
6.770 0.000 0.000
-0.269 7.422 0.000
-1.074 -3.280 9.729
Cs Tl Hg Br
1 1 2 8
direct
0.000 0.000 0.000
0.000 0.000 0.500
0.477 0.549 0.302
0.523 0.451 0.698
0.160 0.733 0.261
0.257 0.937 0.681
0.261 0.332 0.482
0.500 0.270 0.082
0.500 0.730 0.918
0.739 0.668 0.518
0.743 0.063 0.319
0.840 0.267 0.739
```


Computed, not measured: a relaxed Y2Tm5Tc2Ag crystal at the PBE-GGA level of DFT.

Output
E_form, eV per atom: -0.14
Fermi-level density of states, states/eV per cell: 19.19

```
Y2Tm5Tc2Ag
1.0
11.376 0.000 0.000
0.000 11.376 0.000
0.000 0.000 3.942
Y Tm Tc Ag
4 10 4 2
direct
0.175 0.325 0.000
0.325 0.825 0.000
0.675 0.175 0.000
0.825 0.675 0.000
0.000 0.500 0.500
0.070 0.791 0.500
0.209 0.070 0.500
0.291 0.570 0.500
0.430 0.291 0.500
0.500 0.000 0.500
0.570 0.709 0.500
0.709 0.430 0.500
0.791 0.930 0.500
0.930 0.209 0.500
0.126 0.626 0.000
0.374 0.126 0.000
0.626 0.874 0.000
0.874 0.374 0.000
0.000 0.000 0.000
0.500 0.500 0.000
```


Computed, not measured: a relaxed CsNaTcCl6 crystal at the PBE-GGA level of DFT.

Output
Formation energy from raw total energies, kJ/mol of atoms: -123.5

```
CsNaTcCl6
1.0
6.976 0.000 0.000
-3.488 6.041 0.000
0.000 0.000 14.934
Cs Na Tc Cl
2 2 2 12
direct
0.000 0.000 0.000
0.000 0.000 0.500
0.333 0.667 0.250
0.667 0.333 0.750
0.333 0.667 0.750
0.667 0.333 0.250
0.049 0.396 0.657
0.049 0.653 0.843
0.347 0.396 0.843
0.347 0.951 0.657
0.396 0.049 0.157
0.396 0.347 0.343
0.604 0.653 0.657
0.604 0.951 0.843
0.653 0.049 0.343
0.653 0.604 0.157
0.951 0.347 0.157
0.951 0.604 0.343
```


| no. | volume (Å³/f.u.) |
| --- | --- |
| 1 | 87.9 |
| 2 | 488.9 |
| 3 | 255.1 |
| 4 | 314.7 |